#A
A relaxed Na3MgTa crystal. Source: Alexandria, functional PBE-GGA.

a = 5.5504 Å, b = 5.5504 Å, c = 5.5504 Å
α = 90.00°, β = 90.00°, γ = 90.00°
Last column: nearest neighbours and their distance in Å.
Fractional coordinates of all 5 atoms:
Na 0.5000 0.0000 0.0000  2 Mg 2.78
Ta 0.5000 0.5000 0.5000  12 Na 3.92
Na 0.0000 0.5000 0.0000  2 Mg 2.78
Na 0.0000 0.0000 0.5000  2 Mg 2.78
Mg 0.0000 0.0000 0.0000  6 Na 2.78

Properties
- Fermi-level density of states (states/eV/f.u.) = 4.5
- space-group type = No. 221


#B
A relaxed Na3MgTa crystal. Source: Alexandria, functional PBE-GGA.

a = 5.9460 Å, b = 5.9460 Å, c = 5.9460 Å
α = 90.00°, β = 90.00°, γ = 90.00°
Last column: nearest neighbours and their distance in Å.
Fractional coordinates of all 5 atoms:
Na 0.5000 0.0000 0.0000  2 Ta 2.97
Ta 0.0000 0.0000 0.0000  6 Na 2.97
Na 0.0000 0.0000 0.5000  2 Ta 2.97
Mg 0.5000 0.5000 0.5000  12 Na 4.20
Na 0.0000 0.5000 0.0000  2 Ta 2.97

Properties
- Fermi-level density of states (states/eV/f.u.) = 4.4
- space-group type = No. 221


Out of the structures above, which one is the least stable? Solution: #A.